# 1
BeAl2Ru2 after structural relaxation. Source: Alexandria via LeMat-Bulk, functional PBE-GGA.

Values from the calculation:
Total moment: 0.00 μB per atom
ΔE_f: -248 meV/atom
Distance to the lowest polymorph of the same formula: 154.5 meV/atom

Geometry as POSCAR:
```
BeAl2Ru2
1.0
6.6354 0.0000 0.0000
0.0000 6.6354 0.0000
0.0000 0.0000 3.0902
Ru Al Be
4 4 2
Direct
0.1633 0.6633 0.5000
0.6633 0.8367 0.5000
0.8367 0.3367 0.5000
0.3367 0.1633 0.5000
0.3628 0.8628 0.0000
0.8628 0.6372 0.0000
0.6372 0.1372 0.0000
0.1372 0.3628 0.0000
0.0000 0.0000 0.0000
0.5000 0.5000 0.0000
```

# 2
Be2AlRu after structural relaxation. Source: Alexandria via LeMat-Bulk, functional PBE-GGA.

Values from the calculation:
Total moment: 0.00 μB per atom
ΔE_f: 164 meV/atom

Geometry as POSCAR:
```
Be2AlRu
1.0
-0.5783 -2.5678 0.4404
0.6114 0.5885 -2.5302
7.2609 -1.3899 1.4312
Ru Al Be
1 1 2
Direct
0.0000 0.0000 0.4814
0.5000 0.5000 0.7546
0.0000 0.0000 0.0183
0.5000 0.5000 0.2456
```

# 3
BeAlRu2 after structural relaxation. Source: Alexandria via LeMat-Bulk, functional PBE-GGA.

Values from the calculation:
Total moment: 0.00 μB per atom
ΔE_f: -323 meV/atom

Geometry as POSCAR:
```
BeAlRu2
1.0
-1.9238 0.8436 2.0399
-0.0167 -2.7113 1.1056
4.3875 1.4207 3.5503
Ru Al Be
2 1 1
Direct
0.0000 0.0000 0.9609
0.5000 0.5000 0.2578
0.0000 0.0000 0.5166
0.5000 0.5000 0.7648
```

# 4
BeAlRu2 after structural relaxation. Source: Alexandria via LeMat-Bulk, functional PBE-GGA.

Values from the calculation:
Total moment: 0.00 μB per atom
ΔE_f: -156 meV/atom

Geometry as POSCAR:
```
BeAlRu2
1.0
-1.2220 2.3303 1.3632
-3.8643 -2.2796 0.4330
1.1917 -1.3717 3.4131
Ru Al Be
2 1 1
Direct
0.0000 0.0000 0.0000
0.5000 0.5000 0.0000
0.5000 0.0000 0.5000
0.0000 0.5000 0.5000
```

# 5
BeAlRu2 after structural relaxation. Source: Alexandria via LeMat-Bulk, functional PBE-GGA.

Values from the calculation:
Total moment: 0.00 μB per atom
ΔE_f: 175 meV/atom

Geometry as POSCAR:
```
BeAlRu2
1.0
-1.9529 1.7002 0.6888
-0.5817 -1.6953 -1.9916
-2.8241 -5.4616 5.4740
Ru Al Be
2 1 1
Direct
0.0000 0.0000 0.9783
0.5000 0.5000 0.2552
0.0000 0.0000 0.5069
0.5000 0.5000 0.7596
```

# 6
BeAlRu2 after structural relaxation. Source: Alexandria via LeMat-Bulk, functional PBE-GGA.

Values from the calculation:
Total moment: 0.00 μB per atom
ΔE_f: -397 meV/atom

Geometry as POSCAR:
```
BeAlRu2
1.0
2.9085 0.0000 0.0000
0.0000 2.8903 0.2334
0.0000 2.4146 6.0464
Ru Al Be
2 1 1
Direct
0.0000 0.0211 0.9777
0.0000 0.4789 0.5223
0.5000 0.2500 0.2500
0.5000 0.7500 0.7500
```

Q: The lowest ΔE_f belongs to which entry?
A: number 6

Q: ΔE_f of number 2 (Be2AlRu)?
A: 164 meV/atom